DFT (GGA-PBE) results for an optimized crystal structure of LaY2MgH.

Lattice parameters (Å, degrees): 5.0033 5.0033 5.0011 90.00 90.00 90.00
With the nearest neighbours (Å) after each atom.
Sites, in units of the cell vectors:
Y 0.5000 0.0000 0.0000  2 H 2.50
Y 0.0000 0.5000 0.0000  2 H 2.50
La 0.0000 0.0000 0.5000  2 H 2.50
Mg 0.5000 0.5000 0.5000  8 Y 3.54, 4 La 3.54
H 0.0000 0.0000 0.0000  2 La 2.50, 4 Y 2.50

Energy relative to the lowest polymorph listed for this composition in eV/atom: 0.000
Density of states at the Fermi level in states/eV/f.u.: 8.23
Electronic total energy in eV/atom: -4.71

***

DFT (GGA-PBE) results for an optimized crystal structure of La2YMgH.

Lattice parameters (Å, degrees): 5.1358 5.1358 4.8433 90.00 90.00 90.00
With the nearest neighbours (Å) after each atom.
Sites, in units of the cell vectors:
La 0.5000 0.0000 0.0000  2 H 2.57
Mg 0.0000 0.0000 0.5000  2 H 2.42
H 0.0000 0.0000 0.0000  2 Mg 2.42, 4 La 2.57
Y 0.5000 0.5000 0.5000  8 La 3.53, 4 Mg 3.63
La 0.0000 0.5000 0.0000  2 H 2.57

Energy relative to the lowest polymorph listed for this composition in eV/atom: 0.000
Density of states at the Fermi level in states/eV/f.u.: 4.89
Electronic total energy in eV/atom: -4.42

***

DFT (GGA-PBE) results for an optimized crystal structure of La2YMgH.

Lattice parameters (Å, degrees): 5.0690 5.0690 5.0896 90.00 90.00 90.00
With the nearest neighbours (Å) after each atom.
Sites, in units of the cell vectors:
H 0.0000 0.0000 0.0000  4 La 2.53, 2 Y 2.54
La 0.5000 0.0000 0.0000  2 H 2.53
Y 0.0000 0.0000 0.5000  2 H 2.54
Mg 0.5000 0.5000 0.5000  4 Y 3.58, 8 La 3.59
La 0.0000 0.5000 0.0000  2 H 2.53

Energy relative to the lowest polymorph listed for this composition in eV/atom: 0.004
Density of states at the Fermi level in states/eV/f.u.: 6.32
Electronic total energy in eV/atom: -4.41

***

DFT (GGA-PBE) results for an optimized crystal structure of LaMg2ZnH.

Lattice parameters (Å, degrees): 4.6175 4.6175 4.7124 90.00 90.00 90.00
With the nearest neighbours (Å) after each atom.
Sites, in units of the cell vectors:
La 0.0000 0.0000 0.5000  2 H 2.36
Mg 0.5000 0.0000 0.0000  2 H 2.31
Mg 0.0000 0.5000 0.0000  2 H 2.31
Zn 0.5000 0.5000 0.5000  4 La 3.27, 8 Mg 3.30
H 0.0000 0.0000 0.0000  4 Mg 2.31, 2 La 2.36

Density of states at the Fermi level in states/eV/f.u.: 3.65
Electronic total energy in eV/atom: -2.71

***

DFT (GGA-PBE) results for an optimized crystal structure of LaMgZn2H8.

Lattice parameters (Å, degrees): 4.6486 4.6486 6.9902 90.00 90.00 120.00
With the nearest neighbours (Å) after each atom.
Sites, in units of the cell vectors:
H 0.3333 0.6667 0.9865  1 Zn 1.70
La 0.0000 0.0000 0.0000  12 H 2.57-2.69
H 0.3060 0.3010 0.3073  1 Zn 1.65
H 0.6940 0.6990 0.6927  1 Zn 1.65
H 0.6667 0.3333 0.0135  1 Zn 1.70
H 0.0050 0.3060 0.6927  1 Zn 1.65
Zn 0.6667 0.3333 0.2564  4 H 1.65-1.70
Zn 0.3333 0.6667 0.7436  4 H 1.65-1.70
H 0.9950 0.6940 0.3073  1 Zn 1.65
H 0.6990 0.0050 0.3073  1 Zn 1.65
H 0.3010 0.9950 0.6927  1 Zn 1.65
Mg 0.0000 0.0000 0.5000  6 H 1.95

Density of states at the Fermi level in states/eV/f.u.: 2.84
Electronic total energy in eV/atom: -3.11

***

DFT (GGA-PBE) results for an optimized crystal structure of La2MgZrH.

Lattice parameters (Å, degrees): 5.0045 5.0045 4.6555 90.00 90.00 90.00
With the nearest neighbours (Å) after each atom.
Sites, in units of the cell vectors:
La 0.0000 0.5000 0.0000  2 H 2.50
La 0.5000 0.0000 0.0000  2 H 2.50
Mg 0.0000 0.0000 0.5000  2 H 2.33
Zr 0.5000 0.5000 0.5000  8 La 3.42, 4 Mg 3.54
H 0.0000 0.0000 0.0000  2 Mg 2.33, 4 La 2.50

Energy relative to the lowest polymorph listed for this composition in eV/atom: 0.000
Density of states at the Fermi level in states/eV/f.u.: 3.19
Electronic total energy in eV/atom: -4.75

***

DFT (GGA-PBE) results for an optimized crystal structure of La2MgZrH.

Lattice parameters (Å, degrees): 5.2126 5.2126 4.4507 90.00 90.00 90.00
With the nearest neighbours (Å) after each atom.
Sites, in units of the cell vectors:
La 0.5000 0.0000 0.0000  2 H 2.61
H 0.0000 0.0000 0.0000  2 Zr 2.23
Zr 0.0000 0.0000 0.5000  2 H 2.23
La 0.0000 0.5000 0.0000  2 H 2.61
Mg 0.5000 0.5000 0.5000  8 La 3.43, 4 Zr 3.69

Energy relative to the lowest polymorph listed for this composition in eV/atom: 0.021
Density of states at the Fermi level in states/eV/f.u.: 7.27
Electronic total energy in eV/atom: -4.73

***

DFT (GGA-PBE) results for an optimized crystal structure of LaMn2H2.

Lattice parameters (Å, degrees): 6.5967 6.5967 2.9290 90.00 90.00 90.00
With the nearest neighbours (Å) after each atom.
Sites, in units of the cell vectors:
H 0.6054 0.1054 0.0000  1 H 1.97, 4 Mn 2.03
Mn 0.6069 0.8931 0.5000  1 Mn 1.99, 4 H 2.03
La 0.0000 0.0000 0.0000  4 H 2.69, 2 La 2.93
H 0.3946 0.8946 0.0000  1 H 1.97, 4 Mn 2.03
La 0.5000 0.5000 0.0000  4 H 2.69, 2 La 2.93
Mn 0.1069 0.6069 0.5000  1 Mn 1.99, 4 H 2.03
H 0.1054 0.3946 0.0000  1 H 1.97, 4 Mn 2.03
Mn 0.8931 0.3931 0.5000  1 Mn 1.99, 4 H 2.03
H 0.8946 0.6054 0.0000  1 H 1.97, 4 Mn 2.03
Mn 0.3931 0.1069 0.5000  1 Mn 1.99, 4 H 2.03

Energy relative to the lowest polymorph listed for this composition in eV/atom: 0.336
Density of states at the Fermi level in states/eV/f.u.: 3.12
Electronic total energy in eV/atom: -5.46

***

DFT (GGA-PBE) results for an optimized crystal structure of LaMn2H.

Lattice parameters (Å, degrees): 5.5078 5.5078 5.5053 59.99 59.99 90.00
With the nearest neighbours (Å) after each atom.
Sites, in units of the cell vectors:
La 0.0000 0.0000 0.0000  12 Mn 3.23, 4 H 3.37, 4 La 3.37
Mn 0.3750 0.6250 0.7500  2 H 1.69
Mn 0.8750 0.6250 0.7500  2 H 1.69
H 0.5000 0.5000 0.0000  4 Mn 1.69
Mn 0.3750 0.6250 0.2500  2 H 1.69
La 0.7500 0.2500 0.5000  12 Mn 3.23, 4 H 3.37, 4 La 3.37
H 0.2500 0.7500 0.5000  4 Mn 1.69
Mn 0.3750 0.1250 0.2500  2 H 1.69

Energy relative to the lowest polymorph listed for this composition in eV/atom: 0.000
Density of states at the Fermi level in states/eV/f.u.: 3.01
Electronic total energy in eV/atom: -6.58

***

DFT (GGA-PBE) results for an optimized crystal structure of LaMnH2.

Lattice parameters (Å, degrees): 4.2692 4.2692 4.2692 60.00 60.00 60.00
With the nearest neighbours (Å) after each atom.
Sites, in units of the cell vectors:
H 0.2500 0.2500 0.2500  4 La 2.61, 4 Mn 2.61
H 0.7500 0.7500 0.7500  4 La 2.61, 4 Mn 2.61
Mn 0.0000 0.0000 0.0000  8 H 2.61
La 0.5000 0.5000 0.5000  8 H 2.61

Energy relative to the lowest polymorph listed for this composition in eV/atom: 0.192
Density of states at the Fermi level in states/eV/f.u.: 3.30
Electronic total energy in eV/atom: -5.08

***

DFT (GGA-PBE) results for an optimized crystal structure of La2MnH2.

Lattice parameters (Å, degrees): 5.0607 5.0607 5.0272 59.78 59.78 90.00
With the nearest neighbours (Å) after each atom.
Sites, in units of the cell vectors:
H 0.7598 0.7598 0.4804  1 Mn 1.70
H 0.2402 0.2402 0.5196  1 Mn 1.70
La 0.7500 0.2500 0.5000  4 H 2.53
La 0.2500 0.7500 0.5000  4 H 2.53
Mn 0.0000 0.0000 0.0000  2 H 1.70

Energy relative to the lowest polymorph listed for this composition in eV/atom: 0.000
Density of states at the Fermi level in states/eV/f.u.: 3.30
Electronic total energy in eV/atom: -5.28

***

DFT (GGA-PBE) results for an optimized crystal structure of LaMnH6.

Lattice parameters (Å, degrees): 4.6121 4.6121 4.6350 60.16 60.16 60.00
With the nearest neighbours (Å) after each atom.
Sites, in units of the cell vectors:
H 0.5781 0.0974 0.2272  1 Mn 1.63
Mn 0.0000 0.0000 0.0000  6 H 1.63
H 0.4219 0.9026 0.7728  1 Mn 1.63
H 0.9026 0.4219 0.7728  1 Mn 1.63
H 0.9026 0.9026 0.7728  1 Mn 1.63
H 0.0974 0.0974 0.2272  1 Mn 1.63
La 0.5000 0.5000 0.5000  12 H 2.53
H 0.0974 0.5781 0.2272  1 Mn 1.63

Density of states at the Fermi level in states/eV/f.u.: 3.65
Electronic total energy in eV/atom: -4.51